First-principles (PBE) data for crystalline FeAsAu2 at its relaxed geometry, as listed in Alexandria via LeMat-Bulk. Values from VASP.

Quantum ESPRESSO input file:
```
&SYSTEM
  ibrav = 0, nat = 4, ntyp = 3
/
ATOMIC_SPECIES
As 74.92 As.upf
Au 196.97 Au.upf
Fe 55.84 Fe.upf
CELL_PARAMETERS angstrom
5.155 0.024 0.000
2.071 4.720 0.000
-3.613 -2.372 2.809
ATOMIC_POSITIONS crystal
As 0.750 0.250 0.500
Au 0.000 0.000 0.000
Au 0.500 0.500 0.000
Fe 0.250 0.750 0.500
```

Computed properties:
E_form	0.28	eV/atom
calculated total energy	-4.633	eV/atom



First-principles (PBE) data for crystalline K3TiBi at its relaxed geometry, as listed in Alexandria via LeMat-Bulk. Values from VASP.

Quantum ESPRESSO input file:
```
&SYSTEM
  ibrav = 0, nat = 5, ntyp = 3
/
ATOMIC_SPECIES
K 39.10 K.upf
Ti 47.87 Ti.upf
Bi 208.98 Bi.upf
CELL_PARAMETERS angstrom
-1.524 -6.573 -0.538
5.605 -1.000 -3.662
3.477 -1.270 5.668
ATOMIC_POSITIONS crystal
K 0.000 0.500 0.000
K 0.500 0.000 0.000
K 0.000 0.000 0.500
Ti 0.500 0.500 0.500
Bi 0.000 0.000 0.000
```

Computed properties:
E_form	0.85	eV/atom
calculated total energy	-2.167	eV/atom



First-principles (PBE) data for crystalline CaPm8Bi6 at its relaxed geometry, as listed in Alexandria via LeMat-Bulk. Values from VASP.

Quantum ESPRESSO input file:
```
&SYSTEM
  ibrav = 0, nat = 15, ntyp = 3
/
ATOMIC_SPECIES
Bi 208.98 Bi.upf
Pm 145.00 Pm.upf
Ca 40.08 Ca.upf
CELL_PARAMETERS angstrom
8.469 0.000 0.000
4.234 7.334 0.000
4.234 2.445 8.508
ATOMIC_POSITIONS crystal
Bi 0.594 0.933 0.204
Bi 0.731 0.406 0.796
Bi 0.269 0.594 0.204
Bi 0.933 0.269 0.204
Bi 0.067 0.731 0.796
Bi 0.406 0.067 0.796
Pm 0.667 0.667 0.000
Pm 0.877 0.552 0.366
Pm 0.205 0.877 0.366
Pm 0.552 0.205 0.366
Pm 0.448 0.795 0.634
Pm 0.123 0.448 0.634
Pm 0.333 0.333 0.000
Pm 0.795 0.123 0.634
Ca 0.000 0.000 0.000
```

Computed properties:
E_form	-0.59	eV/atom
calculated total energy	-4.809	eV/atom



First-principles (PBE) data for crystalline RbLi2IrO4 at its relaxed geometry, as listed in Alexandria via LeMat-Bulk. Values from VASP.

Quantum ESPRESSO input file:
```
&SYSTEM
  ibrav = 0, nat = 8, ntyp = 4
/
ATOMIC_SPECIES
Li 6.94 Li.upf
Ir 192.22 Ir.upf
O 16.00 O.upf
Rb 85.47 Rb.upf
CELL_PARAMETERS angstrom
5.450 1.190 0.000
-0.803 5.520 0.000
-2.323 -3.355 3.803
ATOMIC_POSITIONS crystal
Li 0.250 0.750 0.500
Li 0.750 0.250 0.500
Ir 0.000 0.000 0.000
O 0.024 0.024 0.363
O 0.339 0.976 0.000
O 0.661 0.661 0.637
O 0.976 0.339 0.000
Rb 0.500 0.500 0.000
```

Computed properties:
ΔE_f (raw)	-1.1626	eV per atom
calculated total energy	-5.349	eV/atom



First-principles (PBE) data for crystalline BePtW at its relaxed geometry, as listed in Alexandria via LeMat-Bulk. Values from VASP.

Quantum ESPRESSO input file:
```
&SYSTEM
  ibrav = 0, nat = 6, ntyp = 3
/
ATOMIC_SPECIES
W 183.84 W.upf
Pt 195.08 Pt.upf
Be 9.01 Be.upf
CELL_PARAMETERS angstrom
4.154 0.004 -0.003
2.081 4.575 0.014
-2.082 -1.714 4.244
ATOMIC_POSITIONS crystal
W 0.222 0.308 0.031
W 0.222 0.794 0.517
Pt 0.546 0.226 0.599
Pt 0.898 0.875 0.949
Be 0.877 0.396 0.428
Be 0.568 0.706 0.119
```

Computed properties:
E_form	-0.23	eV/atom
calculated total energy	-7.807	eV/atom



First-principles (PBE) data for crystalline Cs2TmGe2S6 at its relaxed geometry, as listed in Alexandria via LeMat-Bulk. Values from VASP.

Quantum ESPRESSO input file:
```
&SYSTEM
  ibrav = 0, nat = 11, ntyp = 4
/
ATOMIC_SPECIES
S 32.06 S.upf
Cs 132.91 Cs.upf
Ge 72.64 Ge.upf
Tm 168.93 Tm.upf
CELL_PARAMETERS angstrom
-0.100 6.245 -3.641
2.382 -6.022 -3.216
-8.785 0.340 0.825
ATOMIC_POSITIONS crystal
S 0.262 0.524 0.276
S 0.738 0.476 0.724
S 0.259 0.004 0.269
S 0.255 0.996 0.731
S 0.745 0.004 0.269
S 0.741 0.996 0.731
Cs 0.285 0.570 0.852
Cs 0.715 0.430 0.148
Ge 0.891 0.783 0.667
Ge 0.109 0.217 0.333
Tm 0.500 0.000 0.500
```

Computed properties:
ΔE_f (raw)	-0.9102	eV per atom
calculated total energy	-4.563	eV/atom